Density functional theory data (GGA+U) for crystalline Rb2Mg3NiF12 at its relaxed geometry.

- E_tot: -0.168 Ha/atom

CIF file:
```
data_Rb2Mg3NiF12
_chemical_formula_sum 'Rb6 Mg9 Ni3 F36'
_cell_length_a 7.1939
_cell_length_b 7.1939
_cell_length_c 18.0887
_cell_angle_alpha 90.00
_cell_angle_beta 90.00
_cell_angle_gamma 120.00
_space_group_name_H-M_alt 'R -3 m'
_space_group_IT_number 166
_space_group_name_Hall '-R 3 2"'
loop_
_atom_site_label
_atom_site_fract_x
_atom_site_fract_y
_atom_site_fract_z
Rb1 0.0000 0.0000 0.1130
Mg1 0.0000 0.5000 0.0000
Ni1 0.0000 0.0000 0.5000
F1 0.0711 0.5355 0.3622
F2 0.0928 0.5464 0.1113
```